(1)
VASP calculation (PBE) on AlCuSe after structural relaxation.

- space group = No. 216
- ΔE_f (raw) (eV per formula unit) = 0.0
- V (Å³ per atom) = 18.895

abc: 4.312 4.312 4.312
angles: 60.00 60.00 60.00
Fractional positions:
Se (0.000, 0.000, 0.000)
Cu (0.750, 0.750, 0.750)
Al (0.500, 0.500, 0.500)



(2)
VASP calculation (PBE) on Na2ErTl9 after structural relaxation.

- DFT formation energy (meV per atom) = -93
- space group = No. 123
- V (Å³ per atom) = 28.222

abc: 4.807 4.807 14.657
angles: 90.00 90.00 90.00
Fractional positions:
Tl (0.500, 0.000, 0.838)
Tl (0.500, 0.500, 0.671)
Tl (0.000, 0.500, 0.162)
Tl (0.500, 0.000, 0.500)
Tl (0.000, 0.500, 0.500)
Tl (0.500, 0.500, 0.329)
Tl (0.000, 0.500, 0.838)
Tl (0.500, 0.000, 0.162)
Tl (0.500, 0.500, 0.000)
Er (0.000, 0.000, 0.000)
Na (0.000, 0.000, 0.326)
Na (0.000, 0.000, 0.674)



(3)
VASP calculation (PBE) on Pm5TmPb2 after structural relaxation.

- DFT formation energy (meV per atom) = -190
- space group = No. 71
- V (Å³ per atom) = 31.629

abc: 3.596 8.613 8.613
angles: 80.38 77.95 77.95
Fractional positions:
Pm (0.637, 0.141, 0.586)
Pm (0.363, 0.859, 0.414)
Pm (0.000, 0.500, 0.500)
Pm (0.637, 0.586, 0.141)
Pm (0.363, 0.414, 0.859)
Tm (0.000, 0.000, 0.000)
Pb (0.271, 0.229, 0.229)
Pb (0.729, 0.771, 0.771)



(4)
VASP calculation (PBE) on ZnSiP2 after structural relaxation.

- space group = No. 35
- ΔE_f (raw) (eV per formula unit) = 2.0
- V (Å³ per atom) = 15.961

abc: 2.773 2.773 8.694
angles: 90.00 90.00 107.28
Fractional positions:
Si (0.000, 0.000, 0.498)
Zn (0.500, 0.500, 0.744)
P (0.500, 0.500, 0.295)
P (0.000, 0.000, 0.962)



(5)
VASP calculation (PBE) on CsErMgBr6 after structural relaxation.

- space group = No. 149
- ΔE_f (raw) (eV per formula unit) = -15.8
- V (Å³ per atom) = 40.384

abc: 7.155 7.155 8.200
angles: 90.02 89.98 59.97
Fractional positions:
Er (0.333, 0.333, 0.500)
Cs (0.000, 0.000, 0.000)
Br (0.991, 0.628, 0.694)
Br (0.628, 0.991, 0.306)
Br (0.992, 0.380, 0.306)
Br (0.380, 0.628, 0.306)
Br (0.628, 0.380, 0.694)
Br (0.380, 0.992, 0.694)
Mg (0.667, 0.667, 0.500)



(6)
VASP calculation (PBE) on SmIrF after structural relaxation.

- space group = No. 71
- ΔE_f (raw) (eV per formula unit) = -4.9
- V (Å³ per atom) = 18.639

abc: 3.104 4.689 8.182
angles: 106.65 100.94 90.00
Fractional positions:
Sm (0.107, 0.607, 0.215)
Sm (0.893, 0.393, 0.785)
Ir (0.758, 0.758, 0.515)
Ir (0.242, 0.242, 0.485)
F (0.500, 0.255, 0.000)
F (0.500, 0.745, 0.000)



| no. | total magnetization (μB/f.u.) |
| --- | --- |
| 1 | 0.0 |
| 2 | 0.0 |
| 3 | 0.0 |
| 4 | 0.0 |
| 5 | 0.0 |
| 6 | 0.0 |